Below is a crystal of LiTi2TlGa relaxed with PBEsol, with properties calculated at the meta-GGA SCAN level.

Unit cell a=4.325 b=4.455 c=4.455 alpha=90.00 beta=90.00 gamma=90.00
Sites, in units of the cell vectors:
Tl 0.500 0.500 0.500
Li 0.000 0.000 0.000
Ga 0.500 0.000 0.000
Ti 0.000 0.000 0.500
Ti 0.000 0.500 0.000

**Density**: 7.3 Mg/m³
**Symmetry**: P4/mmm, No. 123
**Calculated formation energy**: 0.45 eV/atom